The following is a PBE calculation of CrRe2Ni after structural relaxation, from Alexandria.

a b c (Å): 3.7232 3.7852 7.4720
angles (deg): 90.00 90.00 90.00
Positions (direct):
Cr1 0.0000 0.0000 0.0000
Cr2 0.5000 0.5000 0.0000
Re1 0.0000 0.5000 0.2480
Re2 0.0000 0.5000 0.7520
Re3 0.5000 0.0000 0.2480
Re4 0.5000 0.0000 0.7520
Ni1 0.0000 0.0000 0.5000
Ni2 0.5000 0.5000 0.5000

The energy relative to the elements comes out at 0.1358 eV/atom. The value obtained for the density of states at the Fermi level is 8.2 states/eV per cell. For the energy above the most stable polymorph in this dataset, the calculation gives 0.44 eV/f.u.

=====

The following is a PBE calculation of CrReNi6 after structural relaxation, from Alexandria.

a b c (Å): 4.7261 8.1826 4.9013
angles (deg): 90.00 90.28 90.00
Positions (direct):
Cr1 0.0000 0.0000 0.0000
Cr2 0.5000 0.5000 0.0000
Re1 0.0000 0.0000 0.5000
Re2 0.5000 0.5000 0.5000
Ni1 0.0072 0.5000 0.7491
Ni2 0.2403 0.2509 0.2507
Ni3 0.2403 0.7491 0.2507
Ni4 0.2597 0.2491 0.7493
Ni5 0.2597 0.7509 0.7493
Ni6 0.4928 0.0000 0.2509
Ni7 0.5072 0.0000 0.7491
Ni8 0.7403 0.2491 0.2507
Ni9 0.7403 0.7509 0.2507
Ni10 0.7597 0.2509 0.7493
Ni11 0.7597 0.7491 0.7493
Ni12 0.9928 0.5000 0.2509

The energy relative to the elements comes out at 0.1700 eV/atom. The value obtained for the density of states at the Fermi level is 22.2 states/eV per cell. For the energy above the most stable polymorph in this dataset, the calculation gives 0.00 eV/f.u.

=====

The following is a PBE calculation of CrRe2Ni after structural relaxation, from Alexandria.

a b c (Å): 2.6936 2.6936 25.7665
angles (deg): 90.00 90.00 120.00
Positions (direct):
Cr1 0.0000 0.0000 0.0000
Cr2 0.3333 0.6667 0.6667
Cr3 0.6667 0.3333 0.3333
Re1 0.0000 0.0000 0.2505
Re2 0.0000 0.0000 0.7495
Re3 0.3333 0.6667 0.4162
Re4 0.3333 0.6667 0.9172
Re5 0.6667 0.3333 0.0828
Re6 0.6667 0.3333 0.5838
Ni1 0.0000 0.0000 0.5000
Ni2 0.3333 0.6667 0.1667
Ni3 0.6667 0.3333 0.8333

The energy relative to the elements comes out at 0.1761 eV/atom. The value obtained for the density of states at the Fermi level is 17.5 states/eV per cell. For the energy above the most stable polymorph in this dataset, the calculation gives 0.60 eV/f.u.

=====

The following is a PBE calculation of CrRe4Ni after structural relaxation, from Alexandria.

a b c (Å): 5.1056 5.1056 5.1056
angles (deg): 60.00 60.00 60.00
Positions (direct):
Cr1 0.0000 0.0000 0.0000
Re1 0.3756 0.3756 0.3756
Re2 0.3756 0.3756 0.8733
Re3 0.3756 0.8733 0.3756
Re4 0.8733 0.3756 0.3756
Ni1 0.7500 0.7500 0.7500

The energy relative to the elements comes out at 0.5512 eV/atom. The value obtained for the density of states at the Fermi level is 5.7 states/eV per cell.

=====

The following is a PBE calculation of CrRe2Ni after structural relaxation, from Alexandria.

a b c (Å): 3.2000 4.1526 8.0737
angles (deg): 90.00 90.00 90.00
Positions (direct):
Cr1 0.0000 0.0000 0.0000
Cr2 0.5000 0.5000 0.0000
Re1 0.0000 0.0000 0.4759
Re2 0.0000 0.5000 0.7521
Re3 0.5000 0.0000 0.7521
Re4 0.5000 0.5000 0.4759
Ni1 0.0000 0.5000 0.2279
Ni2 0.5000 0.0000 0.2279

The energy relative to the elements comes out at 0.2143 eV/atom. The value obtained for the density of states at the Fermi level is 8.3 states/eV per cell. For the energy above the most stable polymorph in this dataset, the calculation gives 0.75 eV/f.u.

=====

The following is a PBE calculation of CrRe2Ni after structural relaxation, from Alexandria.

a b c (Å): 3.7704 3.7704 7.4449
angles (deg): 90.00 90.00 90.00
Positions (direct):
Cr1 0.0000 0.0000 0.0000
Cr2 0.5000 0.5000 0.5000
Re1 0.0000 0.0000 0.5000
Re2 0.0000 0.5000 0.2500
Re3 0.5000 0.0000 0.7500
Re4 0.5000 0.5000 0.0000
Ni1 0.0000 0.5000 0.7500
Ni2 0.5000 0.0000 0.2500

The energy relative to the elements comes out at 0.0311 eV/atom. The value obtained for the density of states at the Fermi level is 6.7 states/eV per cell. For the energy above the most stable polymorph in this dataset, the calculation gives 0.02 eV/f.u.

=====

The following is a PBE calculation of CrRe2Ni after structural relaxation, from Alexandria.

a b c (Å): 2.5985 4.2185 4.9283
angles (deg): 90.00 100.61 90.00
Positions (direct):
Cr1 0.0000 0.0000 0.0000
Re1 0.2990 0.5000 0.7792
Re2 0.5518 0.0000 0.4831
Ni1 0.9819 0.5000 0.2580

The energy relative to the elements comes out at 0.0822 eV/atom. The value obtained for the density of states at the Fermi level is 4.1 states/eV per cell. For the energy above the most stable polymorph in this dataset, the calculation gives 0.22 eV/f.u.

=====

The following is a PBE calculation of CrReNi6 after structural relaxation, from Alexandria.

a b c (Å): 4.7754 4.7754 4.7754
angles (deg): 85.18 85.18 85.18
Positions (direct):
Cr1 0.0000 0.0000 0.0000
Re1 0.5000 0.5000 0.5000
Ni1 0.0290 0.6607 0.6607
Ni2 0.3393 0.3393 0.9710
Ni3 0.3393 0.9710 0.3393
Ni4 0.6607 0.0290 0.6607
Ni5 0.6607 0.6607 0.0290
Ni6 0.9710 0.3393 0.3393

The energy relative to the elements comes out at 0.6280 eV/atom. The value obtained for the density of states at the Fermi level is 13.3 states/eV per cell. For the energy above the most stable polymorph in this dataset, the calculation gives 3.66 eV/f.u.

=====

The following is a PBE calculation of CrReNiRh after structural relaxation, from Alexandria.

a b c (Å): 5.9215 5.9215 5.9215
angles (deg): 90.00 90.00 90.00
Positions (direct):
Cr1 0.0000 0.0000 0.0000
Cr2 0.0000 0.5000 0.5000
Cr3 0.5000 0.0000 0.5000
Cr4 0.5000 0.5000 0.0000
Re1 0.2500 0.2500 0.2500
Re2 0.2500 0.7500 0.7500
Re3 0.7500 0.2500 0.7500
Re4 0.7500 0.7500 0.2500
Ni1 0.0000 0.0000 0.5000
Ni2 0.0000 0.5000 0.0000
Ni3 0.5000 0.0000 0.0000
Ni4 0.5000 0.5000 0.5000
Rh1 0.2500 0.2500 0.7500
Rh2 0.2500 0.7500 0.2500
Rh3 0.7500 0.2500 0.2500
Rh4 0.7500 0.7500 0.7500

The energy relative to the elements comes out at 0.1032 eV/atom. The value obtained for the density of states at the Fermi level is 13.2 states/eV per cell.

=====

The following is a PBE calculation of CrReNi2Ru after structural relaxation, from Alexandria.

a b c (Å): 4.3752 4.3752 4.2257
angles (deg): 90.00 90.00 90.00
Positions (direct):
Cr1 0.0000 0.0000 0.0000
Re1 0.5000 0.5000 0.0000
Ni1 0.0000 0.5000 0.5000
Ni2 0.5000 0.0000 0.5000
Ru1 0.0000 0.0000 0.5000

The energy relative to the elements comes out at 1.8444 eV/atom. The value obtained for the density of states at the Fermi level is 8.3 states/eV per cell. For the energy above the most stable polymorph in this dataset, the calculation gives 1.66 eV/f.u.

=====

The following is a PBE calculation of CrReNi2Ru after structural relaxation, from Alexandria.

a b c (Å): 4.1834 4.1834 4.2894
angles (deg): 90.00 90.00 90.00
Positions (direct):
Cr1 0.0000 0.0000 0.0000
Re1 0.5000 0.5000 0.5000
Ni1 0.0000 0.5000 0.0000
Ni2 0.5000 0.0000 0.0000
Ru1 0.0000 0.0000 0.5000

The energy relative to the elements comes out at 1.5131 eV/atom. The value obtained for the density of states at the Fermi level is 8.0 states/eV per cell. For the energy above the most stable polymorph in this dataset, the calculation gives 0.00 eV/f.u.

=====

The following is a PBE calculation of ScCrReNi after structural relaxation, from Alexandria.

a b c (Å): 2.7013 4.0526 5.5094
angles (deg): 90.00 103.92 90.00
Positions (direct):
Sc1 0.0000 0.0000 0.0000
Cr1 0.4620 0.5000 0.7042
Re1 0.0870 0.0000 0.5129
Ni1 0.5469 0.5000 0.2469

The energy relative to the elements comes out at 0.0814 eV/atom. The value obtained for the density of states at the Fermi level is 4.2 states/eV per cell. For the energy above the most stable polymorph in this dataset, the calculation gives 0.67 eV/f.u.

=====

The following is a PBE calculation of ScCrReNi after structural relaxation, from Alexandria.

a b c (Å): 2.9560 4.0258 5.1557
angles (deg): 90.00 106.75 90.00
Positions (direct):
Sc1 0.0000 0.0000 0.0000
Cr1 0.2557 0.0000 0.5133
Re1 0.7059 0.5000 0.4144
Ni1 0.4255 0.5000 0.8516

The energy relative to the elements comes out at 0.0510 eV/atom. The value obtained for the density of states at the Fermi level is 4.2 states/eV per cell. For the energy above the most stable polymorph in this dataset, the calculation gives 0.55 eV/f.u.